1.
## LaMg2As (PBE-GGA)

Data for crystalline LaMg2As at its relaxed geometry.

Results
The calculation puts the total magnetization at 0.00 μB per formula unit. For the total DFT energy (no corrections), the calculation gives -3.7810 eV per atom. Its theoretical density is 4.1 g/cm3.

Cell: 3.989 4.333 6.471 Å, 70.41 90.00 90.00°
Fractional positions:
As 0.000 0.286 0.553
La 0.500 0.723 0.680
Mg 0.000 0.044 0.036
Mg 0.500 0.447 0.231



2.
## LaMg2As (PBE-GGA)

Data for crystalline LaMg2As at its relaxed geometry.

Results
The calculation puts the total magnetization at 0.00 μB per formula unit. For the total DFT energy (no corrections), the calculation gives -3.2586 eV per atom. Its theoretical density is 4.1 g/cm3.

Cell: 10.046 10.046 10.046 Å, 20.19 20.19 20.19°
Fractional positions:
As 0.250 0.250 0.250
La 0.750 0.750 0.750
Mg 0.981 0.981 0.981
Mg 0.519 0.519 0.519



3.
## La4MgAs (PBE-GGA)

Data for crystalline La4MgAs at its relaxed geometry.

Results
The calculation puts the total magnetization at 0.00 μB per formula unit. For the total DFT energy (no corrections), the calculation gives -4.1464 eV per atom. Its theoretical density is 5.7 g/cm3.

Cell: 6.450 6.450 6.450 Å, 60.00 60.00 60.00°
Fractional positions:
La 0.878 0.374 0.374
La 0.374 0.374 0.878
La 0.374 0.878 0.374
La 0.374 0.374 0.374
Mg 0.750 0.750 0.750
As 0.000 0.000 0.000



4.
## LaMg2As2 (PBE-GGA)

Data for crystalline LaMg2As2 at its relaxed geometry.

Results
The calculation puts the total magnetization at 0.00 μB per formula unit. For the total DFT energy (no corrections), the calculation gives -4.3155 eV per atom. Its theoretical density is 4.9 g/cm3.

Cell: 4.155 4.155 7.215 Å, 73.26 73.26 90.00°
Fractional positions:
As 0.382 0.382 0.237
As 0.618 0.618 0.763
Mg 0.750 0.250 0.500
Mg 0.250 0.750 0.500
La 0.000 0.000 0.000



5.
## LaMg2As (PBE-GGA)

Data for crystalline LaMg2As at its relaxed geometry.

Results
The calculation puts the total magnetization at 0.00 μB per formula unit. For the total DFT energy (no corrections), the calculation gives -3.5736 eV per atom. Its theoretical density is 4.3 g/cm3.

Cell: 5.868 5.868 5.868 Å, 138.28 129.41 67.59°
Fractional positions:
As 0.480 0.480 0.000
La 0.720 0.220 0.500
Mg 0.997 0.997 0.000
Mg 0.302 0.802 0.500



6.
## La2MgAs2 (PBE-GGA)

Data for crystalline La2MgAs2 at its relaxed geometry.

Results
The calculation puts the total magnetization at 0.00 μB per formula unit. For the total DFT energy (no corrections), the calculation gives -5.3083 eV per atom. Its theoretical density is 5.7 g/cm3.

Cell: 7.967 7.967 4.126 Å, 90.00 90.00 90.00°
Fractional positions:
As 0.343 0.843 0.000
As 0.843 0.657 0.000
As 0.657 0.157 0.000
As 0.157 0.343 0.000
Mg 0.000 0.000 0.000
Mg 0.500 0.500 0.000
La 0.152 0.652 0.500
La 0.652 0.848 0.500
La 0.848 0.348 0.500
La 0.348 0.152 0.500



- Among the records above, which one has the lowest total DFT energy (no corrections)?
  La2MgAs2



- Number 6 is which compound?
  La2MgAs2



- The highest total DFT energy (no corrections) belongs to which entry?
  number 2